Record 1
The following is a PBE calculation of a relaxed CaCu4Ni crystal, from the Alexandria database.

The space group is P4/mbm (No. 127) and the conventional cell measures 5.815, 5.815 and 6.737 Å, with angles of 90.00, 90.00 and 90.00 degrees. The inequivalent atoms are Ca at (0.000, 0.500, 0.000), Cu at (0.000, 0.000, 0.171), Cu at (0.141, 0.359, 0.500) and Ni at (0.000, 0.000, 0.500).

The value obtained for the energy of formation is 2.52 eV/f.u. The calculation puts the density of states at the Fermi level at 0.5665 states/eV per atom. Its crystal system is tetragonal. For the spin magnetization, the calculation gives 0.00 μB per formula unit. Its total energy is -3.608 eV/atom.

=====

Record 2
The following is a PBE calculation of a relaxed LiRe2Mo crystal, from the Alexandria database.

The space group is Cmmm (No. 65) and the conventional cell measures 3.055, 4.355 and 9.107 Å, with angles of 90.00, 90.00 and 90.00 degrees. The inequivalent atoms are Li at (0.000, 0.000, 0.000), Re at (0.000, 0.500, 0.254) and Mo at (0.000, 0.000, 0.500).

The value obtained for the energy of formation is 0.86 eV/f.u. The calculation puts the density of states at the Fermi level at 0.7618 states/eV per atom. As for the relative energy among the computed polymorphs: 0.77 kcal/mol of atoms. Its crystal system is orthorhombic. For the spin magnetization, the calculation gives 0.00 μB per formula unit. Its total energy is -9.196 eV/atom.

=====

Which formula does entry 1 have?
CaCu4Ni

=====

energy of formation of number 2 (LiRe2Mo)?
0.86 eV/f.u.

=====

Number 2 is which compound?
LiRe2Mo

=====

Which value of energy of formation does entry 1 give?
2.52 eV/f.u.